Computed, not measured: a geometry-optimized PuZrNb structure at the PBE level of DFT.

## Properties
DOS at the Fermi energy	7.180	states/eV/cell
size of the total moment	5.37	μB per formula unit
energy relative to the elements	249.9	meV/atom

a = 3.165 Å, b = 3.165 Å, c = 7.576 Å
α = 90.00°, β = 90.00°, γ = 120.00°
Atoms (fractional coordinates):
Pu1 0.000 0.000 0.000
Zr1 0.333 0.667 0.642
Nb1 0.667 0.333 0.320

Computed, not measured: a geometry-optimized KUSeO5 structure at the PBE level of DFT.

## Properties
size of the total moment	1.00	μB per formula unit
energy relative to the elements, uncorrected	-48.360	kcal/mol of atoms

a = 6.365 Å, b = 6.365 Å, c = 8.031 Å
α = 92.09°, β = 92.09°, γ = 114.06°
Atoms (fractional coordinates):
K1 0.151 0.849 0.750
K2 0.849 0.151 0.250
U1 0.500 0.500 0.000
U2 0.500 0.500 0.500
Se1 0.201 0.799 0.250
Se2 0.799 0.201 0.750
O1 0.197 0.280 0.012
O2 0.205 0.607 0.394
O3 0.280 0.197 0.512
O4 0.393 0.795 0.106
O5 0.428 0.572 0.750
O6 0.572 0.428 0.250
O7 0.607 0.205 0.894
O8 0.720 0.803 0.488
O9 0.795 0.393 0.606
O10 0.803 0.720 0.988